The following is a DFT calculation (PBE+U) of a relaxed structure of Ir2PbWF.

VASP energy, eV/atom: -4.79
SG: No. 123
Fermi-level density of states, states/eV/atom: 1.0856
V, Å³/cell: 128
M_tot, μB per formula unit: 0.000

Cell lengths 4.716, 4.716, 5.768 Å; angles 90.00, 90.00, 90.00 degrees
Fractional positions:
Ir 0.000 0.500 0.000
Ir 0.500 0.000 0.000
Pb 0.000 0.000 0.500
W 0.000 0.000 0.000
F 0.500 0.500 0.500